Compound: PuUGaFe
Source: Alexandria via LeMat-Bulk
Functional: GGA-PBE
Structure: optimized geometry

```
PuUGaFe
1.0
4.654 0.000 0.000
2.327 4.030 0.000
2.327 1.343 3.800
U Fe Ga Pu
1 1 1 1
Cartesian
4.654 2.687 1.900
6.980 4.030 2.850
0.000 0.000 0.000
2.327 1.343 0.950
```

Calculated values
Total DFT energy (no corrections): -9.306 eV per atom
Symmetry: No. 216
Formation enthalpy at 0 K: -0.1 eV/f.u.
V: 17.82 Å³ per atom
Fermi-level density of states: 1.516 states/eV per atom
Crystal system: cubic


Compound: PuVGaFe
Source: Alexandria via LeMat-Bulk
Functional: GGA-PBE
Structure: optimized geometry

```
PuVGaFe
1.0
-0.055 4.092 -1.638
-3.814 1.822 -1.251
-1.747 3.293 2.353
V Fe Ga Pu
1 1 1 1
Cartesian
-1.404 2.302 -0.134
-4.212 6.905 -0.402
0.000 0.000 0.000
-2.808 4.603 -0.268
```

Calculated values
Total DFT energy (no corrections): -8.745 eV per atom
Symmetry: No. 216
Formation enthalpy at 0 K: 0.0 eV/f.u.
V: 15.14 Å³ per atom
Fermi-level density of states: 1.895 states/eV per atom
Crystal system: cubic


Compound: RbGaFe2
Source: Alexandria via LeMat-Bulk
Functional: GGA-PBE
Structure: optimized geometry

```
RbGaFe2
1.0
-3.450 -2.864 2.053
3.439 -2.109 2.837
-1.364 3.539 8.570
Ga Rb Fe
2 2 4
Cartesian
-0.006 -2.487 2.445
1.035 -0.529 6.926
0.000 0.000 0.000
-2.410 -0.906 6.534
-1.182 -0.434 3.253
0.492 -1.527 4.699
-0.145 0.248 8.989
-1.915 -1.157 9.978
```

Calculated values
Total DFT energy (no corrections): -4.417 eV per atom
Symmetry: No. 122
Formation enthalpy at 0 K: 3.3 eV/f.u.
V: 26.45 Å³ per atom
Fermi-level density of states: 1.234 states/eV per atom
Crystal system: tetragonal


Compound: RbGa2Fe
Source: Alexandria via LeMat-Bulk
Functional: GGA-PBE
Structure: optimized geometry

```
RbGa2Fe
1.0
6.353 0.000 0.000
0.000 6.353 0.000
3.176 3.176 6.411
Ga Rb Fe
4 2 2
Cartesian
3.176 1.588 1.603
3.177 4.764 1.603
4.764 6.353 4.809
7.941 6.352 4.809
0.000 0.000 0.000
6.353 3.176 3.206
3.176 3.176 0.000
3.176 6.353 3.206
```

Calculated values
Total DFT energy (no corrections): -3.538 eV per atom
Symmetry: No. 141
Formation enthalpy at 0 K: 1.3 eV/f.u.
V: 32.34 Å³ per atom
Energy above the most stable polymorph in this dataset: 0.0000 eV per atom
Fermi-level density of states: 0.894 states/eV per atom
Crystal system: tetragonal


Compound: RbGa2Fe
Source: Alexandria via LeMat-Bulk
Functional: GGA-PBE
Structure: optimized geometry

```
RbGa2Fe
1.0
0.000 3.682 3.682
3.682 0.000 3.682
3.682 3.682 0.000
Ga Rb Fe
2 1 1
Cartesian
1.841 1.841 1.841
5.523 5.523 5.523
3.682 3.682 3.682
0.000 0.000 0.000
```

Calculated values
Total DFT energy (no corrections): -3.108 eV per atom
Symmetry: No. 225
Formation enthalpy at 0 K: 3.1 eV/f.u.
V: 24.96 Å³ per atom
Energy above the most stable polymorph in this dataset: 0.4298 eV per atom
Fermi-level density of states: 1.841 states/eV per atom
Crystal system: cubic


Compound: RbGaFe3
Source: Alexandria via LeMat-Bulk
Functional: GGA-PBE
Structure: optimized geometry

```
RbGaFe3
1.0
4.606 0.000 0.000
0.000 4.606 0.000
0.000 0.000 4.606
Ga Rb Fe
1 1 3
Cartesian
2.303 2.303 2.303
0.000 0.000 0.000
0.000 2.303 0.000
0.000 0.000 2.303
2.303 0.000 0.000
```

Calculated values
Total DFT energy (no corrections): -3.378 eV per atom
Symmetry: No. 221
Formation enthalpy at 0 K: 12.5 eV/f.u.
V: 19.54 Å³ per atom
Energy above the most stable polymorph in this dataset: 1.3353 eV per atom
Fermi-level density of states: 1.327 states/eV per atom
Crystal system: cubic


Compound: Rb3GaFe
Source: Alexandria via LeMat-Bulk
Functional: GGA-PBE
Structure: optimized geometry

```
Rb3GaFe
1.0
6.582 0.000 0.000
0.000 6.582 0.000
0.000 0.000 6.582
Ga Rb Fe
1 3 1
Cartesian
0.000 0.000 0.000
0.000 3.291 0.000
0.000 0.000 3.291
3.291 0.000 0.000
3.291 3.291 3.291
```

Calculated values
Total DFT energy (no corrections): -1.944 eV per atom
Symmetry: No. 221
Formation enthalpy at 0 K: 4.7 eV/f.u.
V: 57.02 Å³ per atom
Fermi-level density of states: 1.407 states/eV per atom
Crystal system: cubic


Compound: RbGaFe3
Source: Alexandria via LeMat-Bulk
Functional: GGA-PBE
Structure: optimized geometry

```
RbGaFe3
1.0
4.808 0.000 0.000
0.000 4.808 0.000
0.000 0.000 4.808
Ga Rb Fe
1 1 3
Cartesian
0.000 0.000 0.000
2.404 2.404 2.404
0.000 2.404 0.000
0.000 0.000 2.404
2.404 0.000 0.000
```

Calculated values
Total DFT energy (no corrections): -4.713 eV per atom
Symmetry: No. 221
Formation enthalpy at 0 K: 5.8 eV/f.u.
V: 22.23 Å³ per atom
Energy above the most stable polymorph in this dataset: 0.0000 eV per atom
Fermi-level density of states: 1.755 states/eV per atom
Crystal system: cubic


Compound: RbGa2FeRe
Source: Alexandria via LeMat-Bulk
Functional: GGA-PBE
Structure: optimized geometry

```
RbGa2FeRe
1.0
4.739 0.000 0.000
0.000 5.501 0.000
0.000 0.000 4.739
Re Ga Rb Fe
1 2 1 1
Cartesian
2.370 2.751 2.370
0.000 0.000 2.370
2.370 0.000 0.000
0.000 2.751 0.000
0.000 0.000 0.000
```

Calculated values
Total DFT energy (no corrections): -4.030 eV per atom
Symmetry: No. 123
Formation enthalpy at 0 K: 7.8 eV/f.u.
V: 24.71 Å³ per atom
Fermi-level density of states: 1.000 states/eV per atom
Crystal system: tetragonal


Compound: RbGaFe2S
Source: Alexandria via LeMat-Bulk
Functional: GGA-PBE
Structure: optimized geometry

```
RbGaFe2S
1.0
4.734 0.000 0.000
0.000 5.263 0.000
0.000 0.000 4.734
S Ga Rb Fe
1 1 1 2
Cartesian
0.000 2.631 0.000
0.000 0.000 0.000
2.367 2.631 2.367
0.000 0.000 2.367
2.367 0.000 0.000
```

Calculated values
Total DFT energy (no corrections): -4.294 eV per atom
Symmetry: No. 123
Formation energy (no corrections): 0.7155 eV/atom
V: 23.59 Å³ per atom
Fermi-level density of states: 1.997 states/eV per atom
Crystal system: tetragonal


Compound: Rb2GaFeSe4
Source: Alexandria via LeMat-Bulk
Functional: GGA-PBE
Structure: optimized geometry

```
Rb2GaFeSe4
1.0
-2.074 3.395 -4.435
-3.061 -4.144 -5.743
-12.149 2.186 3.352
Rb Ga Fe Se
4 2 2 8
Cartesian
-8.141 2.010 1.343
-6.082 3.571 -2.426
-13.168 1.743 -2.513
-5.152 1.391 -6.531
-8.123 -0.130 -2.305
-1.037 1.698 -2.218
-9.160 1.567 -4.522
0.000 0.000 0.000
-4.382 -2.119 -5.559
-11.856 1.844 0.969
-15.179 1.673 -5.646
-3.150 1.476 -3.418
-7.839 -0.458 -4.706
-9.453 1.909 -2.140
-11.264 1.331 -5.703
-6.010 0.091 -1.105
```

Calculated values
Total DFT energy (no corrections): -4.203 eV per atom
Symmetry: No. 70
Formation energy (no corrections): -0.7828 eV/atom
V: 32.97 Å³ per atom
Fermi-level density of states: 0.129 states/eV per atom
Crystal system: orthorhombic


Compound: RbTl2GaFe
Source: Alexandria via LeMat-Bulk
Functional: GGA-PBE
Structure: optimized geometry

```
RbTl2GaFe
1.0
5.190 0.000 0.000
0.000 5.860 0.000
0.000 0.000 5.190
Tl Ga Rb Fe
2 1 1 1
Cartesian
0.000 0.000 2.595
2.595 0.000 0.000
2.595 2.930 2.595
0.000 2.930 0.000
0.000 0.000 0.000
```

Calculated values
Total DFT energy (no corrections): -2.859 eV per atom
Symmetry: No. 123
Formation enthalpy at 0 K: 2.9 eV/f.u.
V: 31.57 Å³ per atom
Fermi-level density of states: 0.945 states/eV per atom
Crystal system: tetragonal


Fermi-level density of states of number 7 (Rb3GaFe)? 1.407 states/eV per atom